Cd2TcRu: relaxed, GGA-PBE.

The structure in POSCAR format:
```
Cd2TcRu
1.0
-4.247 -1.446 -2.532
-3.981 -0.956 3.127
3.306 3.920 -0.495
Cd Ru Tc
2 1 1
Cartesian
0.000 0.000 0.000
-4.114 -1.201 0.297
-2.394 0.882 1.465
-2.528 0.637 -1.365
```

## Properties
As for the size of the total moment: 3.2 Bohr magnetons per cell. The calculation puts the energy above the lowest structure with this stoichiometry at 453 meV per atom. The calculation puts the formation energy from the elements at 2.2 eV/f.u. For the raw total energy, the calculation gives -4.813 eV per atom.